[1]
A relaxed Ge2CSe crystal, computed with GGA-PBE.

## Properties
**E**: -78.669 eV/cell
**Density**: 5.51 g/cm3
**Raw formation energy**: 0.57 eV per atom

Lattice parameters (Å, degrees): 5.8852 5.8852 8.2230 90.00 90.00 90.00
Last column: nearest neighbours and their distance in Å.
Space group I-42d (No. 122)
Symmetry-distinct sites (fractional):
Ge1 0.1674 0.2500 0.1250 x8  2 C 2.05
C1 0.0000 0.0000 0.0000 x4  4 Ge 2.05
Se1 0.0000 0.0000 0.5000 x4  4 Ge 2.66



[2]
A relaxed PrAl8Fe2 crystal, computed with GGA-PBE.

## Properties
**Energy of formation from the pure elements**: -0.402 eV/atom
**E**: -224.264 eV/cell
**Density**: 4.28 g/cm3

Lattice parameters (Å, degrees): 12.5124 14.4655 4.0124 90.00 90.00 90.00
Last column: nearest neighbours and their distance in Å.
Space group Pbam (No. 55)
Symmetry-distinct sites (fractional):
Pr1 0.1589 0.1821 0.0000 x4  13 Al 3.16-3.34
Al1 0.0000 0.0000 0.0000 x2  2 Fe 2.35
Al2 0.0000 0.5000 0.5000 x2  4 Fe 2.45, 4 Al 2.63-2.65
Al3 0.0275 0.8683 0.5000 x4  2 Fe 2.57, 6 Al 2.67-2.80
Al4 0.0464 0.3213 0.5000 x4  2 Fe 2.57, 5 Al 2.65-2.85
Al5 0.0951 0.7468 0.0000 x4  2 Fe 2.35
Al6 0.1584 0.6197 0.5000 x4  2 Fe 2.56, 5 Al 2.63-2.83
Al7 0.1618 0.4545 0.0000 x4  3 Fe 2.47-2.56
Al8 0.1675 0.0071 0.5000 x4  2 Fe 2.52, 3 Al 2.67-2.72
Al9 0.2358 0.8299 0.5000 x4  2 Fe 2.50, 3 Al 2.67-2.73
Fe1 0.0351 0.5925 0.0000 x4  9 Al 2.35-2.57
Fe2 0.1501 0.9023 0.0000 x4  9 Al 2.35-2.57



[3]
A relaxed BaMoRuI2 crystal, computed with GGA-PBE.

## Properties
**E**: -19.237 eV/cell
**Density**: 5.08 g/cm3
**Raw formation energy**: 1.18 eV per atom

Lattice parameters (Å, degrees): 5.4933 5.4933 6.3746 90.00 90.00 90.00
Last column: nearest neighbours and their distance in Å.
Space group P4/mmm (No. 123)
Symmetry-distinct sites (fractional):
Ba1 0.0000 0.0000 0.0000 x1  2 Mo 3.19
Mo1 0.0000 0.0000 0.5000 x1  4 I 2.75
Ru1 0.5000 0.5000 0.0000 x1  4 Ba 3.88, 8 I 4.21
I1 0.0000 0.5000 0.5000 x2  2 Mo 2.75



[4]
A relaxed HgPt2Se crystal, computed with GGA-PBE.

## Properties
**E**: -30.925 eV/cell
**Density**: 14.82 g/cm3
**Raw formation energy**: 0.10 eV per atom

Lattice parameters (Å, degrees): 6.5605 3.0509 7.6244 90.00 100.41 90.00
Last column: nearest neighbours and their distance in Å.
Space group C2/m (No. 12)
Symmetry-distinct sites (fractional):
Hg1 0.0000 0.0000 0.0000 x2  6 Pt 2.84-2.85, 2 Hg 3.05
Pt1 0.2465 0.0000 0.7297 x4  3 Se 2.62-2.64, 3 Hg 2.84-2.85
Se1 0.0000 0.5000 0.5000 x2  6 Pt 2.62-2.64



[5]
A relaxed Ir3Rh2 crystal, computed with GGA-PBE.

## Properties
**Energy of formation from the pure elements**: -0.009 eV/atom
**E**: -82.658 eV/cell
**Density**: 18.07 g/cm3

Lattice parameters (Å, degrees): 2.7300 2.7300 19.2976 90.00 90.00 90.00
Last column: nearest neighbours and their distance in Å.
Space group I4/mmm (No. 139)
Symmetry-distinct sites (fractional):
Ir1 0.0000 0.0000 0.0000 x2  8 Rh 2.72, 4 Ir 2.73
Ir2 0.0000 0.0000 0.2010 x4  8 Ir 2.70-2.73, 4 Rh 2.75
Rh1 0.0000 0.0000 0.4004 x4  8 Ir 2.72-2.75, 4 Rh 2.73



[6]
A relaxed Ca3Cd2Hg4Bi2 crystal, computed with GGA-PBE.

## Properties
**Energy of formation from the pure elements**: -0.323 eV/atom
**E**: -40.718 eV/cell
**Density**: 8.29 g/cm3

Lattice parameters (Å, degrees): 4.6100 4.6100 29.5222 90.00 90.00 90.00
Last column: nearest neighbours and their distance in Å.
Space group I4/mmm (No. 139)
Symmetry-distinct sites (fractional):
Ca1 0.0000 0.0000 0.0000 x2  8 Cd 3.53, 8 Hg 3.93
Ca2 0.0000 0.0000 0.1981 x4  5 Bi 3.27-3.31, 4 Hg 3.52
Cd1 0.0000 0.0000 0.4539 x4  1 Cd 2.72, 4 Hg 2.94
Hg1 0.0000 0.5000 0.1080 x8  2 Cd 2.94, 4 Hg 3.26
Bi1 0.0000 0.0000 0.3102 x4  5 Ca 3.27-3.31, 4 Hg 3.34



[7]
A relaxed NiPt4W crystal, computed with GGA-PBE.

## Properties
**Energy of formation from the pure elements**: 0.009 eV/atom
**E**: -42.841 eV/cell
**Density**: 16.40 g/cm3

Lattice parameters (Å, degrees): 3.9110 3.9110 6.7720 90.00 90.00 90.00
Last column: nearest neighbours and their distance in Å.
Space group P4/mmm (No. 123)
Symmetry-distinct sites (fractional):
Ni1 0.0000 0.0000 0.0000 x1  8 Pt 2.56
Pt1 0.0000 0.5000 0.2442 x4  2 Ni 2.56, 2 W 2.61, 4 Pt 2.77
W1 0.5000 0.5000 0.5000 x1  8 Pt 2.61



[8]
A relaxed CaTb6Pr4 crystal, computed with GGA-PBE.

## Properties
**Energy of formation from the pure elements**: 0.349 eV/atom
**E**: -90.116 eV/cell
**Density**: 6.34 g/cm3

Lattice parameters (Å, degrees): 7.8279 7.8279 13.3029 90.00 90.00 90.00
Last column: nearest neighbours and their distance in Å.
Space group I-42m (No. 121)
Symmetry-distinct sites (fractional):
Ca1 0.0000 0.0000 0.0000 x2  4 Pr 3.71, 8 Tb 3.90-3.91
Tb1 0.0000 0.5000 0.0000 x4  4 Tb 3.12
Tb2 0.1602 0.1602 0.5773 x8  4 Tb 3.12-3.24, 1 Pr 3.23
Pr1 0.2451 0.2451 0.8096 x8  1 Tb 3.23



> Look up the density of the fourth one.

14.82 g/cm3



> What is the E in the fourth record?

-30.925 eV/cell



> Among the records above, which one has the highest density?

Ir3Rh2